ZrAlCr | GGA-PBE | relaxed

Calculated values
Mass density (g/cm³): 5.45
DOS at the Fermi energy (states/eV per atom): 0.54
Energy relative to the elements (meV/atom): -75

Lattice parameters (Å, degrees): 5.6842 5.6842 5.6842 147.84 147.84 46.12
Element x y z (fractional)
Zr (0.0000, 0.0000, 0.0000)
Al (0.3027, 0.3027, 0.0000)
Cr (0.6682, 0.6682, 0.0000)

ZrAl2Cr | GGA-PBE | relaxed

Calculated values
Mass density (g/cm³): 4.69
DOS at the Fermi energy (states/eV per atom): 1.03
Energy relative to the elements (meV/atom): 161

Lattice parameters (Å, degrees): 9.4134 9.4134 9.4134 18.04 18.04 18.04
Element x y z (fractional)
Zr (0.0000, 0.0000, 0.0000)
Al (0.5068, 0.5068, 0.5068)
Al (0.7574, 0.7574, 0.7574)
Cr (0.2483, 0.2483, 0.2483)

CsAl | GGA-PBE | relaxed

Calculated values
Mass density (g/cm³): 3.07
DOS at the Fermi energy (states/eV per atom): 1.04
Excess energy over the best structure of this formula in the dataset (meV/atom): 492
Energy relative to the elements (meV/atom): 677

Lattice parameters (Å, degrees): 4.0744 4.0744 5.2029 90.00 90.00 90.00
Element x y z (fractional)
Cs (0.0000, 0.0000, 0.0000)
Al (0.5000, 0.5000, 0.5000)

CsAl6 | GGA-PBE | relaxed

Calculated values
Mass density (g/cm³): 2.34
DOS at the Fermi energy (states/eV per atom): 0.89
Energy relative to the elements (meV/atom): 373

Lattice parameters (Å, degrees): 6.4813 6.4813 6.4813 109.47 109.47 109.47
Element x y z (fractional)
Cs (0.0000, 0.0000, 0.0000)
Al (0.2500, 0.5000, 0.7500)
Al (0.2500, 0.7500, 0.5000)
Al (0.5000, 0.2500, 0.7500)
Al (0.5000, 0.7500, 0.2500)
Al (0.7500, 0.2500, 0.5000)
Al (0.7500, 0.5000, 0.2500)

CsAl | GGA-PBE | relaxed

Calculated values
Mass density (g/cm³): 2.62
DOS at the Fermi energy (states/eV per atom): 0.59
Excess energy over the best structure of this formula in the dataset (meV/atom): 44
Energy relative to the elements (meV/atom): 229

Lattice parameters (Å, degrees): 4.5885 17.4153 7.6021 90.00 90.00 90.00
Element x y z (fractional)
Cs (0.2500, 0.0276, 0.2327)
Cs (0.2500, 0.4724, 0.2327)
Cs (0.2500, 0.7500, 0.4740)
Cs (0.7500, 0.2500, 0.5260)
Cs (0.7500, 0.5276, 0.7673)
Cs (0.7500, 0.9724, 0.7673)
Al (0.2500, 0.2500, 0.0052)
Al (0.2500, 0.6702, 0.9831)
Al (0.2500, 0.8298, 0.9831)
Al (0.7500, 0.1702, 0.0169)
Al (0.7500, 0.3298, 0.0169)
Al (0.7500, 0.7500, 0.9948)

CsAl | GGA-PBE | relaxed

Calculated values
Mass density (g/cm³): 2.75
DOS at the Fermi energy (states/eV per atom): 0.30
Excess energy over the best structure of this formula in the dataset (meV/atom): 26
Energy relative to the elements (meV/atom): 210

Lattice parameters (Å, degrees): 11.3597 4.7604 7.1433 90.00 90.00 90.00
Element x y z (fractional)
Cs (0.1719, 0.2500, 0.0574)
Cs (0.3281, 0.7500, 0.5574)
Cs (0.6719, 0.2500, 0.4426)
Cs (0.8281, 0.7500, 0.9426)
Al (0.0144, 0.2500, 0.5562)
Al (0.4856, 0.7500, 0.0562)
Al (0.5144, 0.2500, 0.9438)
Al (0.9856, 0.7500, 0.4438)

CsAl | GGA-PBE | relaxed

Calculated values
Mass density (g/cm³): 1.56
DOS at the Fermi energy (states/eV per atom): 0.58
Excess energy over the best structure of this formula in the dataset (meV/atom): 243
Energy relative to the elements (meV/atom): 428

Lattice parameters (Å, degrees): 9.6066 9.6066 9.6066 109.47 109.47 109.47
Element x y z (fractional)
Cs (0.0000, 0.0000, 0.4209)
Cs (0.0000, 0.4209, 0.0000)
Cs (0.4209, 0.0000, 0.0000)
Cs (0.5791, 0.5791, 0.5791)
Al (0.0000, 0.0000, 0.8254)
Al (0.0000, 0.8254, 0.0000)
Al (0.1746, 0.1746, 0.1746)
Al (0.8254, 0.0000, 0.0000)

CsAl | GGA-PBE | relaxed

Calculated values
Mass density (g/cm³): 2.42
DOS at the Fermi energy (states/eV per atom): 0.23
Excess energy over the best structure of this formula in the dataset (meV/atom): 41
Energy relative to the elements (meV/atom): 226

Lattice parameters (Å, degrees): 13.5661 13.5661 4.7643 90.00 90.00 90.00
Element x y z (fractional)
Cs (0.0341, 0.7636, 0.0000)
Cs (0.2364, 0.0341, 0.0000)
Cs (0.3023, 0.3489, 0.5000)
Cs (0.3489, 0.6977, 0.5000)
Cs (0.6511, 0.3023, 0.5000)
Cs (0.6977, 0.6511, 0.5000)
Cs (0.7636, 0.9659, 0.0000)
Cs (0.9659, 0.2364, 0.0000)
Al (0.0848, 0.5521, 0.5000)
Al (0.1009, 0.4723, 0.0000)
Al (0.4479, 0.0848, 0.5000)
Al (0.4723, 0.8991, 0.0000)
Al (0.5277, 0.1009, 0.0000)
Al (0.5521, 0.9152, 0.5000)
Al (0.8991, 0.5277, 0.0000)
Al (0.9152, 0.4479, 0.5000)

Q: The lowest energy relative to the elements belongs to which entry?
A: ZrAlCr

Q: The highest energy relative to the elements belongs to which entry?
A: number 3